Record 1
Below is a relaxed structure of BeTl4Cu, with properties calculated at the PBE-GGA level.

extended XYZ file:
```
6
Lattice="0.000 4.449 4.449 4.449 0.000 4.449 4.449 4.449 0.000" Properties=species:S:1:pos:R:3 pbc="T T T"
Be 6.673 6.673 6.673
Tl 3.336 5.562 5.562
Tl 5.562 5.562 3.336
Tl 5.562 3.336 5.562
Tl 3.336 3.336 3.336
Cu 0.000 0.000 0.000
```

Output
ΔE_f	0.864	eV per atom
density of states at the Fermi level	2.09	states/eV/cell

***

Record 2
Below is a relaxed structure of TlCdHg5, with properties calculated at the PBE-GGA level.

extended XYZ file:
```
7
Lattice="4.475 0.000 0.000 0.000 4.475 0.000 0.000 0.000 9.918" Properties=species:S:1:pos:R:3 pbc="T T T"
Tl 0.000 0.000 4.959
Cd 2.238 2.238 0.000
Hg 0.000 2.238 2.527
Hg 0.000 2.238 7.391
Hg 2.238 0.000 2.527
Hg 2.238 0.000 7.391
Hg 0.000 0.000 0.000
```

Output
ΔE_f	0.021	eV per atom
distance to the lowest polymorph of the same formula	8	meV per atom
density of states at the Fermi level	1.57	states/eV/cell

***

Record 3
Below is a relaxed structure of RbBaSr2Au, with properties calculated at the PBE-GGA level.

extended XYZ file:
```
5
Lattice="6.265 0.000 0.000 0.000 6.265 0.000 0.000 0.000 6.769" Properties=species:S:1:pos:R:3 pbc="T T T"
Sr 0.000 3.133 0.000
Sr 3.133 0.000 0.000
Au 0.000 0.000 0.000
Ba 3.133 3.133 3.384
Rb 0.000 0.000 3.384
```

Output
ΔE_f	-0.180	eV per atom
distance to the lowest polymorph of the same formula	111	meV per atom
density of states at the Fermi level	3.85	states/eV/cell

***

Record 4
Below is a relaxed structure of Pm3Al5Zn6, with properties calculated at the PBE-GGA level.

extended XYZ file:
```
28
Lattice="4.327 0.000 0.000 0.000 9.805 0.000 0.000 0.000 12.731" Properties=species:S:1:pos:R:3 pbc="T T T"
Pm 0.000 2.440 8.790
Pm 2.164 7.365 2.425
Pm 2.164 7.365 10.306
Pm 0.000 2.430 0.000
Pm 2.164 7.374 6.365
Pm 0.000 2.440 3.940
Al 0.000 5.120 10.922
Al 0.000 8.671 8.408
Al 0.000 7.358 0.000
Al 2.164 4.685 8.174
Al 2.164 2.447 6.365
Al 0.000 5.120 1.809
Al 2.164 4.685 4.556
Al 0.000 8.671 4.323
Al 2.164 1.134 10.688
Al 2.164 1.134 2.043
Zn 0.000 9.541 10.961
Zn 2.164 0.264 8.135
Zn 2.164 3.706 10.706
Zn 2.164 5.302 0.000
Zn 0.000 4.503 6.365
Zn 0.000 6.099 8.390
Zn 0.000 6.099 4.340
Zn 2.164 9.367 0.000
Zn 0.000 9.541 1.770
Zn 2.164 3.706 2.025
Zn 0.000 0.438 6.365
Zn 2.164 0.264 4.596
```

Output
ΔE_f	-0.392	eV per atom
density of states at the Fermi level	11.54	states/eV/cell

***

Record 5
Below is a relaxed structure of InSiSeN2, with properties calculated at the PBE-GGA level.

extended XYZ file:
```
5
Lattice="4.221 0.000 0.000 0.000 4.221 0.000 0.000 0.000 5.686" Properties=species:S:1:pos:R:3 pbc="T T T"
Si 2.110 2.110 2.843
N 0.000 2.110 0.000
N 2.110 0.000 0.000
Se 0.000 0.000 2.843
In 0.000 0.000 0.000
```

Output
distance to the lowest polymorph of the same formula	1067	meV per atom
density of states at the Fermi level	2.17	states/eV/cell
raw formation energy	1555	meV/atom

***

Record 6
Below is a relaxed structure of H2S5, with properties calculated at the PBE-GGA level.

extended XYZ file:
```
14
Lattice="6.420 0.000 -1.868 1.995 13.610 6.859 -1.033 6.498 8.416" Properties=species:S:1:pos:R:3 pbc="T T T"
H 4.232 14.954 9.287
H 6.970 11.959 6.729
H 3.149 5.155 4.120
H 0.412 8.149 6.679
S 1.549 8.697 4.380
S 0.918 18.216 14.177
S 1.432 7.505 6.054
S 4.345 5.798 4.100
S 5.950 12.603 7.353
S 3.037 14.310 9.307
S 6.464 1.892 -0.769
S 5.832 11.411 9.028
S 2.910 10.207 4.733
S 5.505 3.402 0.258
```

Output
calculated total energy	-55.10	eV for the cell shown
density of states at the Fermi level	0.00	states/eV/cell

***

Record 7
Below is a relaxed structure of MgTiRe3, with properties calculated at the PBE-GGA level.

extended XYZ file:
```
5
Lattice="-4.231 1.657 -0.652 0.174 -1.290 -4.402 -1.772 -4.082 1.126" Properties=species:S:1:pos:R:3 pbc="T T T"
Re 0.087 -0.645 -2.201
Re -0.886 -2.041 0.563
Re -2.115 0.828 -0.326
Mg -2.915 -1.857 -1.964
Ti 0.000 0.000 0.000
```

Output
ΔE_f	1.667	eV per atom
distance to the lowest polymorph of the same formula	0	meV per atom
density of states at the Fermi level	8.19	states/eV/cell

***

Record 8
Below is a relaxed structure of Be2PIr, with properties calculated at the PBE-GGA level.

extended XYZ file:
```
4
Lattice="3.071 0.000 0.000 0.000 3.071 0.000 0.000 0.000 4.737" Properties=species:S:1:pos:R:3 pbc="T T T"
P 1.535 1.535 3.627
Ir 0.000 0.000 2.364
Be 0.000 0.000 0.034
Be 1.535 1.535 1.081
```

Output
ΔE_f	-0.076	eV per atom
density of states at the Fermi level	1.52	states/eV/cell

***

Record 9
Below is a relaxed structure of K4BaF6, with properties calculated at the PBE-GGA level.

extended XYZ file:
```
22
Lattice="-6.539 3.801 -2.532 -4.506 -5.673 3.337 -0.306 4.149 6.805" Properties=species:S:1:pos:R:3 pbc="T T T"
K -3.186 2.193 0.897
K -7.280 3.833 1.369
K -4.266 -2.006 1.833
K -2.991 2.644 5.305
K -8.360 -0.366 2.305
K -7.085 4.284 5.778
K -4.070 -1.555 6.241
K -8.164 0.085 6.713
Ba -5.675 1.139 3.805
Ba 0.000 0.000 0.000
F -4.661 2.696 -1.186
F -1.846 -1.390 1.103
F -5.858 0.275 1.401
F -6.828 6.158 2.445
F -4.501 3.309 3.121
F -3.326 0.183 4.156
F -8.025 2.095 3.454
F -6.850 -1.031 4.489
F -4.523 -3.880 5.165
F -5.493 2.003 6.209
F -9.505 3.669 6.507
F -6.689 -0.418 8.796
```

Output
density of states at the Fermi level	0.00	states/eV/cell
raw formation energy	-2926	meV/atom

***

Record 10
Below is a relaxed structure of LiTmLuMo, with properties calculated at the PBE-GGA level.

extended XYZ file:
```
4
Lattice="4.948 0.000 0.000 2.474 4.286 0.000 2.474 1.429 4.040" Properties=species:S:1:pos:R:3 pbc="T T T"
Mo 2.474 1.429 1.010
Lu 4.948 2.857 2.020
Tm 0.000 0.000 0.000
Li 7.423 4.286 3.030
```

Output
ΔE_f	0.234	eV per atom
density of states at the Fermi level	6.21	states/eV/cell

***

Record 11
Below is a relaxed structure of AlCu3Au12, with properties calculated at the PBE-GGA level.

extended XYZ file:
```
16
Lattice="-2.158 -0.057 -3.495 2.877 -2.360 -1.738 -7.734 -13.102 4.990" Properties=species:S:1:pos:R:3 pbc="T T T"
Al 0.000 0.000 0.000
Cu -1.960 -3.321 1.265
Cu -3.867 -6.551 2.495
Cu -5.774 -9.781 3.725
Au 0.360 -1.209 -2.616
Au -1.586 -4.505 -1.361
Au -3.507 -7.760 -0.121
Au -5.428 -11.015 1.118
Au -2.056 -1.684 -1.117
Au -3.988 -4.957 0.130
Au -5.904 -8.202 1.366
Au -7.836 -11.476 2.613
Au 0.462 -2.835 -0.239
Au -1.471 -6.109 1.008
Au -3.386 -9.354 2.244
Au -5.319 -12.627 3.491
```

Output
ΔE_f	-0.059	eV per atom
density of states at the Fermi level	5.66	states/eV/cell

***

Record 12
Below is a relaxed structure of AlRe2Hg, with properties calculated at the PBE-GGA level.

extended XYZ file:
```
4
Lattice="-4.454 1.717 0.991 -4.749 -0.269 -1.067 -1.596 -3.263 3.376" Properties=species:S:1:pos:R:3 pbc="T T T"
Re -1.636 -3.164 3.287
Re -5.359 -1.005 1.740
Hg -2.700 -0.454 0.825
Al -8.099 -1.361 2.476
```

Output
ΔE_f	0.451	eV per atom
distance to the lowest polymorph of the same formula	297	meV per atom
density of states at the Fermi level	3.00	states/eV/cell

***

Record 13
Below is a relaxed structure of KMg2Se, with properties calculated at the PBE-GGA level.

extended XYZ file:
```
4
Lattice="-1.457 2.202 3.149 -3.983 0.999 0.182 -3.373 -6.469 5.495" Properties=species:S:1:pos:R:3 pbc="T T T"
K -2.268 -1.227 2.428
Mg -3.307 -6.086 5.283
Mg -6.519 -1.981 6.351
Se -4.499 -2.078 4.672
```

Output
density of states at the Fermi level	2.06	states/eV/cell
raw formation energy	-463	meV/atom

***

Record 14
Below is a relaxed structure of Tb2NdSm2Dy4, with properties calculated at the PBE-GGA level.

extended XYZ file:
```
9
Lattice="3.610 0.000 0.000 -1.805 9.362 -0.490 0.000 -3.711 8.853" Properties=species:S:1:pos:R:3 pbc="T T T"
Tb 1.805 5.353 2.624
Tb 0.000 0.298 5.740
Nd 0.000 0.000 0.000
Sm 0.000 2.526 8.521
Sm 1.805 3.126 -0.158
Dy 1.805 3.419 5.571
Dy 0.000 2.233 2.793
Dy 1.805 -0.886 2.957
Dy 0.000 6.538 5.407
```

Output
ΔE_f	-0.003	eV per atom
density of states at the Fermi level	11.89	states/eV/cell